Material: MnIr2
Method: DFT, PBE
State: relaxed

- electronic total energy (eV/atom) = -9.043
- crystal system = trigonal
- theoretical density (g/cm³) = 17.823
- energy of formation (eV/atom) = -0.0793
- space group = No. 164

Unit cell a=2.6976 b=2.6976 c=6.4953 alpha=90.00 beta=90.00 gamma=120.00
Atoms (fractional coordinates):
Mn 0.0000 0.0000 0.0000
Ir 0.3333 0.6667 0.3177
Ir 0.6667 0.3333 0.6823